# AcPrPt2 (PBE-GGA, relaxed)
# SG = P4/mmm, No. 123
# ΔE_f = -4.02 eV per formula unit
# total magnetization = 0.000 μB/atom
# energy above the most stable polymorph in this dataset = 129 meV/atom
data_AcPrPt2
_chemical_formula_sum 'Ac1 Pr1 Pt2'
_cell_length_a 3.715
_cell_length_b 3.715
_cell_length_c 7.407
_cell_angle_alpha 90.00
_cell_angle_beta 90.00
_cell_angle_gamma 90.00
_space_group_name_H-M_alt 'P 1'
_space_group_IT_number 1
loop_
_space_group_symop_operation_xyz
'x,y,z'
loop_
_atom_site_label
_atom_site_type_symbol
_atom_site_fract_x
_atom_site_fract_y
_atom_site_fract_z
Pr1 Pr 0.500 0.500 0.500
Ac1 Ac 0.500 0.500 0.000
Pt1 Pt 0.000 0.000 0.734
Pt2 Pt 0.000 0.000 0.266